Compound: Nd2NpNiO8
Source: the Alexandria database
Functional: PBE with a Hubbard U
Structure: relaxed

a = 4.2388 Å, b = 5.3251 Å, c = 7.5764 Å
α = 80.37°, β = 85.71°, γ = 80.89°
With the nearest neighbours (Å) after each atom.
Space group P-1 (No. 2)
One atom of each set of equivalent atoms:
Nd  0.0358  0.0556  0.2321 (multiplicity 2)  6 O 2.31-2.55
Np  0.5000  0.5000  0.5000 (multiplicity 1)  4 O 1.92-1.98
Ni  0.5000  0.5000  0.0000 (multiplicity 1)  4 O 1.81-1.92
O  0.0800  0.7229  0.5119 (multiplicity 2)  1 Np 1.98
O  0.1719  0.7500  0.0391 (multiplicity 2)  1 Ni 1.81
O  0.4150  0.2141  0.6782 (multiplicity 2)  1 Np 1.92
O  0.4666  0.3263  0.2421 (multiplicity 2)  1 Ni 1.92

Output
The total energy is -7.860 eV/atom. The size of the total moment is 1.01 μB/f.u.